(1)
Below is crystalline VSn2Br6 at its relaxed geometry, with properties calculated at the GGA-PBE level.

Summary:
SG = P2_1/c (14)
DFT total energy = -68.2 eV per cell

Cell: 7.0795 8.1891 12.3456 Å, 90.00 124.82 90.00°
Closest atoms and distances in Å follow each position.
Element x y z (fractional)
1 V 0.0000 0.0000 0.0000  6 Br 2.63-2.64
2 V 0.0000 0.5000 0.5000  6 Br 2.63-2.64
3 Sn 0.3232 0.1440 0.8007  3 Br 2.78-2.84
4 Sn 0.3232 0.3560 0.3007  3 Br 2.78-2.84
5 Sn 0.6768 0.6440 0.6993  3 Br 2.78-2.84
6 Sn 0.6768 0.8560 0.1993  3 Br 2.78-2.84
7 Br 0.1536 0.0329 0.2493  1 V 2.63, 1 Sn 2.82
8 Br 0.1536 0.4671 0.7493  1 V 2.63, 1 Sn 2.82
9 Br 0.2354 0.7256 0.0598  1 V 2.64, 1 Sn 2.78
10 Br 0.2354 0.7744 0.5598  1 V 2.64, 1 Sn 2.78
11 Br 0.3510 0.1687 0.0392  1 V 2.64, 1 Sn 2.84
12 Br 0.3510 0.3313 0.5392  1 V 2.64, 1 Sn 2.84
13 Br 0.6490 0.6687 0.4608  1 V 2.64, 1 Sn 2.84
14 Br 0.6490 0.8313 0.9608  1 V 2.64, 1 Sn 2.84
15 Br 0.7646 0.2256 0.4402  1 V 2.64, 1 Sn 2.78
16 Br 0.7646 0.2744 0.9402  1 V 2.64, 1 Sn 2.78
17 Br 0.8464 0.5329 0.2507  1 V 2.63, 1 Sn 2.82
18 Br 0.8464 0.9671 0.7507  1 V 2.63, 1 Sn 2.82

---

(2)
Below is crystalline LaY4Ru at its relaxed geometry, with properties calculated at the GGA-PBE level.

Summary:
SG = F-43m (216)
ΔH_f (0 K) = 686 meV/atom

Cell: 6.2853 6.2853 6.2853 Å, 60.00 60.00 60.00°
Closest atoms and distances in Å follow each position.
Element x y z (fractional)
1 La 0.0000 0.0000 0.0000  12 Y 3.69, 4 Ru 3.85
2 Y 0.3761 0.3761 0.3761  6 Y 3.12-3.17
3 Y 0.3761 0.3761 0.8718  6 Y 3.12-3.17
4 Y 0.3761 0.8718 0.3761  6 Y 3.12-3.17
5 Y 0.8718 0.3761 0.3761  6 Y 3.12-3.17
6 Ru 0.7500 0.7500 0.7500  12 Y 3.68, 4 La 3.85

---

(3)
Below is crystalline Be2AlMoP at its relaxed geometry, with properties calculated at the GGA-PBE level.

Summary:
SG = P4/mmm (123)
ΔH_f (0 K) = 822 meV/atom

Cell: 4.4259 4.4259 4.5209 Å, 90.00 90.00 90.00°
Closest atoms and distances in Å follow each position.
Element x y z (fractional)
1 Be 0.0000 0.5000 0.0000  2 Mo 2.21
2 Be 0.5000 0.0000 0.0000  2 Mo 2.21
3 Al 0.0000 0.0000 0.5000  4 P 3.13, 8 Be 3.16
4 Mo 0.5000 0.5000 0.0000  4 Be 2.21, 2 P 2.26
5 P 0.5000 0.5000 0.5000  2 Mo 2.26

---

(4)
Below is crystalline Nd3Dy2HoTe6 at its relaxed geometry, with properties calculated at the GGA-PBE level.

Summary:
SG = C2/m (12)
DFT total energy = -63.1 eV per cell

Cell: 9.9375 9.9375 8.9496 Å, 104.35 104.35 25.43°
Closest atoms and distances in Å follow each position.
Element x y z (fractional)
1 Nd 0.0000 0.0000 0.0000  6 Te 3.18-3.19
2 Nd 0.3328 0.3328 0.6671  6 Te 3.18-3.19
3 Nd 0.6672 0.6672 0.3329  6 Te 3.18-3.19
4 Dy 0.3330 0.3330 0.1663  6 Te 3.07-3.08
5 Dy 0.6670 0.6670 0.8337  6 Te 3.07-3.08
6 Ho 0.0000 0.0000 0.5000  6 Te 3.06-3.07
7 Te 0.1633 0.1633 0.5896  1 Ho 3.06, 2 Dy 3.08, 3 Nd 3.18-3.19
8 Te 0.1693 0.1693 0.0762  3 Dy 3.07, 3 Nd 3.18
9 Te 0.4974 0.4974 0.2581  2 Ho 3.07, 1 Dy 3.08, 3 Nd 3.19
10 Te 0.5026 0.5026 0.7419  2 Ho 3.07, 1 Dy 3.08, 3 Nd 3.19
11 Te 0.8307 0.8307 0.9238  3 Dy 3.07, 3 Nd 3.18
12 Te 0.8367 0.8367 0.4104  1 Ho 3.06, 2 Dy 3.08, 3 Nd 3.18-3.19

---

(5)
Below is crystalline CsSnSb2Pd at its relaxed geometry, with properties calculated at the GGA-PBE level.

Summary:
SG = P4/mmm (123)
DFT total energy = -18.2 eV per cell

Cell: 5.5238 5.5238 5.3464 Å, 90.00 90.00 90.00°
Closest atoms and distances in Å follow each position.
Element x y z (fractional)
1 Cs 0.0000 0.0000 0.0000  8 Sb 3.84, 4 Sn 3.91
2 Sn 0.5000 0.5000 0.0000  2 Pd 2.67
3 Sb 0.0000 0.5000 0.5000  2 Pd 2.76
4 Sb 0.5000 0.0000 0.5000  2 Pd 2.76
5 Pd 0.5000 0.5000 0.5000  2 Sn 2.67, 4 Sb 2.76

---

(6)
Below is crystalline NaSr2NdS4 at its relaxed geometry, with properties calculated at the GGA-PBE level.

Summary:
SG = P2/m (10)
DFT total energy = -41.5 eV per cell

Cell: 7.2260 4.2128 7.2354 Å, 90.00 108.74 90.00°
Closest atoms and distances in Å follow each position.
Element x y z (fractional)
1 Na 0.0000 0.0000 0.0000  6 S 2.92-2.99
2 Sr 0.5000 0.0000 0.5000  6 S 2.96-2.97
3 Sr 0.5000 0.5000 0.0000  6 S 3.03-3.05
4 Nd 0.0000 0.5000 0.5000  6 S 2.85-2.91
5 S 0.2359 0.0000 0.7396  2 Nd 2.91, 1 Na 2.92, 3 Sr 2.96-3.05
6 S 0.2440 0.5000 0.2597  1 Nd 2.85, 3 Sr 2.97-3.03, 2 Na 2.99
7 S 0.7560 0.5000 0.7403  1 Nd 2.85, 3 Sr 2.97-3.03, 2 Na 2.99
8 S 0.7641 0.0000 0.2604  2 Nd 2.91, 1 Na 2.92, 3 Sr 2.96-3.05

---

(7)
Below is crystalline LaSi3Rh at its relaxed geometry, with properties calculated at the GGA-PBE level.

Summary:
SG = I4mm (107)
DFT total energy = -65.5 eV per cell

Cell: 4.2787 4.2787 9.9050 Å, 90.00 90.00 90.00°
Closest atoms and distances in Å follow each position.
Element x y z (fractional)
1 La 0.0000 0.0000 0.0000  12 Si 3.15-3.37, 5 Rh 3.39-3.42
2 La 0.5000 0.5000 0.5000  12 Si 3.15-3.37, 5 Rh 3.39-3.42
3 Si 0.0000 0.0000 0.4128  1 Rh 2.39, 4 Si 2.61
4 Si 0.0000 0.5000 0.2626  2 Rh 2.39, 2 Si 2.61
5 Si 0.0000 0.5000 0.7626  2 Rh 2.39, 2 Si 2.61
6 Si 0.5000 0.0000 0.2626  2 Rh 2.39, 2 Si 2.61
7 Si 0.5000 0.0000 0.7626  2 Rh 2.39, 2 Si 2.61
8 Si 0.5000 0.5000 0.9128  1 Rh 2.39, 4 Si 2.61
9 Rh 0.0000 0.0000 0.6543  5 Si 2.39
10 Rh 0.5000 0.5000 0.1543  5 Si 2.39

---

(8)
Below is crystalline CaCd4Pd6 at its relaxed geometry, with properties calculated at the GGA-PBE level.

Summary:
SG = I-42m (121)
ΔH_f (0 K) = -211 meV/atom

Cell: 7.0479 7.0479 7.0479 Å, 123.61 123.61 83.86°
Closest atoms and distances in Å follow each position.
Element x y z (fractional)
1 Ca 0.0000 0.0000 0.0000  4 Cd 3.30, 8 Pd 3.33
2 Cd 0.0949 0.5305 0.0000  4 Pd 2.65-2.91
3 Cd 0.4695 0.4695 0.5643  4 Pd 2.65-2.91
4 Cd 0.5305 0.0949 0.0000  4 Pd 2.65-2.91
5 Cd 0.9051 0.9051 0.4357  4 Pd 2.65-2.91
6 Pd 0.0000 0.5000 0.5000  4 Pd 2.66
7 Pd 0.2553 0.2553 0.6814  4 Cd 2.65-2.91, 4 Pd 2.66-2.78
8 Pd 0.4261 0.7447 0.0000  4 Cd 2.65-2.91, 4 Pd 2.66-2.78
9 Pd 0.5000 0.0000 0.5000  4 Pd 2.66
10 Pd 0.5739 0.5739 0.3186  4 Cd 2.65-2.91, 4 Pd 2.66-2.78
11 Pd 0.7447 0.4261 0.0000  4 Cd 2.65-2.91, 4 Pd 2.66-2.78

---

no.,spin magnetization (μB per formula unit)
1,3.0
2,1.4
3,0.0
4,0.0
5,0.0
6,0.0
7,0.0
8,0.0